(1)
A plane-wave DFT calculation with PBE was carried out for crystalline LaSbTe2N at its relaxed geometry.

Unit cell a=6.1786 b=6.1786 c=6.2714 alpha=90.00 beta=90.00 gamma=90.00
Last column: magnetic moment on the atom in μB.
Sites, in units of the cell vectors:
Sb (0.0000, 0.0000, 0.5000)  0.09
N (0.5000, 0.5000, 0.5000)  1.90
Te (0.0000, 0.5000, 0.0000)  0.02
Te (0.5000, 0.0000, 0.0000)  0.02
La (0.0000, 0.0000, 0.0000)  0.01

- VASP energy: -18.415 eV/f.u.
- E_form (uncorrected): 1049 meV/atom
- Magnetization: 3.2 μB per formula unit
- Space group: P4/mmm (123)

(2)
A plane-wave DFT calculation with PBE was carried out for crystalline LaSbTe2N at its relaxed geometry.

Unit cell a=4.9288 b=4.9288 c=4.8904 alpha=90.00 beta=90.00 gamma=90.00
Sites, in units of the cell vectors:
Sb (0.0000, 0.0000, 0.5000)
N (0.0000, 0.0000, 0.0000)
Te (0.0000, 0.5000, 0.0000)
Te (0.5000, 0.0000, 0.0000)
La (0.5000, 0.5000, 0.5000)

- VASP energy: -24.416 eV/f.u.
- E_form (uncorrected): -151 meV/atom
- Magnetization: 0.0 μB per formula unit
- Space group: P4/mmm (123)

(3)
A plane-wave DFT calculation with PBE was carried out for crystalline LaSbTeN2 at its relaxed geometry.

Unit cell a=4.3843 b=4.3843 c=6.7150 alpha=90.00 beta=90.00 gamma=90.00
Last column: magnetic moment on the atom in μB.
Sites, in units of the cell vectors:
Sb (0.5000, 0.5000, 0.5000)  0.23
N (0.0000, 0.5000, 0.0000)  0.04
N (0.5000, 0.0000, 0.0000)  0.04
Te (0.0000, 0.0000, 0.5000)  -0.01
La (0.0000, 0.0000, 0.0000)  0.00

- VASP energy: -25.251 eV/f.u.
- E_form (uncorrected): 718 meV/atom
- Magnetization: 0.7 μB per formula unit
- Space group: P4/mmm (123)

(4)
A plane-wave DFT calculation with PBE was carried out for crystalline LaSbTe2N at its relaxed geometry.

Unit cell a=5.8368 b=5.8368 c=4.1060 alpha=90.00 beta=90.00 gamma=90.00
Sites, in units of the cell vectors:
Sb (0.0000, 0.0000, 0.0000)
N (0.0000, 0.0000, 0.5000)
Te (0.0000, 0.5000, 0.0000)
Te (0.5000, 0.0000, 0.0000)
La (0.5000, 0.5000, 0.5000)

- VASP energy: -23.765 eV/f.u.
- E_form (uncorrected): -21 meV/atom
- Magnetization: 0.0 μB per formula unit
- Space group: P4/mmm (123)

(5)
A plane-wave DFT calculation with PBE was carried out for crystalline LaSb2TeN at its relaxed geometry.

Unit cell a=6.2113 b=6.2113 c=6.1312 alpha=90.00 beta=90.00 gamma=90.00
Last column: magnetic moment on the atom in μB.
Sites, in units of the cell vectors:
Sb (0.0000, 0.5000, 0.0000)  -0.14
Sb (0.5000, 0.0000, 0.0000)  -0.14
N (0.5000, 0.5000, 0.5000)  1.88
Te (0.0000, 0.0000, 0.5000)  -0.04
La (0.0000, 0.0000, 0.0000)  -0.01

- VASP energy: -18.343 eV/f.u.
- E_form (uncorrected): 1259 meV/atom
- Magnetization: 2.0 μB per formula unit
- Space group: P4/mmm (123)

(6)
A plane-wave DFT calculation with PBE was carried out for crystalline LaSbTe2N at its relaxed geometry.

Unit cell a=6.3252 b=6.3252 c=4.0591 alpha=90.00 beta=90.00 gamma=90.00
Last column: magnetic moment on the atom in μB.
Sites, in units of the cell vectors:
Sb (0.5000, 0.5000, 0.5000)  0.00
N (0.0000, 0.0000, 0.5000)  0.07
Te (0.0000, 0.5000, 0.0000)  0.00
Te (0.5000, 0.0000, 0.0000)  0.00
La (0.0000, 0.0000, 0.0000)  0.06

- VASP energy: -22.429 eV/f.u.
- E_form (uncorrected): 246 meV/atom
- Magnetization: 0.1 μB per formula unit
- Space group: P4/mmm (123)

(7)
A plane-wave DFT calculation with PBE was carried out for crystalline La2ThSbN2 at its relaxed geometry.

Unit cell a=4.6315 b=4.6315 c=6.7992 alpha=90.00 beta=90.00 gamma=90.00
Last column: magnetic moment on the atom in μB.
Sites, in units of the cell vectors:
La (0.5000, 0.5000, 0.7631)  0.17
La (0.5000, 0.5000, 0.2369)  0.17
Th (0.0000, 0.0000, 0.0000)  0.01
Sb (0.0000, 0.0000, 0.5000)  -0.01
N (0.5000, 0.0000, 0.0000)  0.00
N (0.0000, 0.5000, 0.0000)  0.00

- VASP energy: -45.169 eV/f.u.
- E_form (uncorrected): -1187 meV/atom
- Magnetization: 0.6 μB per formula unit
- Space group: P4/mmm (123)

(8)
A plane-wave DFT calculation with PBE was carried out for crystalline La2YSbN at its relaxed geometry.

Unit cell a=5.1219 b=5.1219 c=4.7765 alpha=90.00 beta=90.00 gamma=90.00
Sites, in units of the cell vectors:
Y (0.0000, 0.0000, 0.5000)
Sb (0.5000, 0.5000, 0.5000)
N (0.0000, 0.0000, 0.0000)
La (0.0000, 0.5000, 0.0000)
La (0.5000, 0.0000, 0.0000)

- VASP energy: -34.041 eV/f.u.
- E_form (uncorrected): -1055 meV/atom
- Magnetization: 0.0 μB per formula unit
- Space group: P4/mmm (123)

(9)
A plane-wave DFT calculation with PBE was carried out for crystalline LaYSb2N at its relaxed geometry.

Unit cell a=5.6616 b=6.0187 c=5.6616 alpha=90.00 beta=90.00 gamma=90.00
Last column: magnetic moment on the atom in μB.
Sites, in units of the cell vectors:
Y (0.0000, 0.0000, 0.0000)  0.02
Sb (0.0000, 0.0000, 0.5000)  0.01
Sb (0.5000, 0.0000, 0.0000)  0.02
N (0.5000, 0.5000, 0.5000)  1.58
La (0.0000, 0.5000, 0.0000)  -0.05

- VASP energy: -22.163 eV/f.u.
- E_form (uncorrected): 1160 meV/atom
- Magnetization: 2.3 μB per formula unit
- Space group: P4/mmm (123)

(10)
A plane-wave DFT calculation with PBE was carried out for crystalline LaY2SbN4 at its relaxed geometry.

Unit cell a=3.7205 b=6.2201 c=11.9131 alpha=90.00 beta=90.00 gamma=107.40
Sites, in units of the cell vectors:
La (0.1039, 0.2078, 0.7500)
La (0.8961, 0.7922, 0.2500)
Y (0.3723, 0.7447, 0.5381)
Y (0.6277, 0.2553, 0.0381)
Y (0.6277, 0.2553, 0.4619)
Y (0.3723, 0.7447, 0.9619)
Sb (0.8460, 0.6920, 0.7500)
Sb (0.1540, 0.3080, 0.2500)
N (0.2743, 0.5486, 0.1247)
N (0.7257, 0.4514, 0.6247)
N (0.7257, 0.4514, 0.8753)
N (0.2743, 0.5486, 0.3753)
N (0.0000, 0.0000, 0.5000)
N (0.0000, 0.0000, 0.0000)
N (0.4334, 0.8668, 0.7500)
N (0.5666, 0.1332, 0.2500)

- VASP energy: -61.366 eV/f.u.
- E_form (uncorrected): -761 meV/atom
- Magnetization: 0.0 μB per formula unit
- Space group: Cmcm (63)

(11)
A plane-wave DFT calculation with PBE was carried out for crystalline La2ScN at its relaxed geometry.

Unit cell a=7.4100 b=7.4100 c=6.8114 alpha=57.05 beta=57.05 gamma=90.00
Sites, in units of the cell vectors:
Sc (0.0000, 0.0000, 0.0000)
Sc (0.7500, 0.2500, 0.5000)
N (0.5000, 0.5000, 0.0000)
N (0.2500, 0.7500, 0.5000)
La (0.5017, 0.1250, 0.2500)
La (0.2483, 0.6250, 0.2500)
La (0.3750, 0.4983, 0.7500)
La (0.8750, 0.7517, 0.7500)

- VASP energy: -25.711 eV/f.u.
- E_form (uncorrected): -300 meV/atom
- Magnetization: 0.0 μB per formula unit
- Space group: I-42d (122)

(12)
A plane-wave DFT calculation with PBE was carried out for crystalline La2Sc4N at its relaxed geometry.

Unit cell a=4.4226 b=4.4226 c=9.9042 alpha=77.10 beta=77.10 gamma=90.00
Sites, in units of the cell vectors:
Sc (0.8839, 0.8839, 0.2322)
Sc (0.1161, 0.1161, 0.7678)
Sc (0.0000, 0.5000, 0.0000)
Sc (0.5000, 0.0000, 0.0000)
N (0.0000, 0.0000, 0.0000)
La (0.6827, 0.6827, 0.6347)
La (0.3173, 0.3173, 0.3653)

- VASP energy: -45.926 eV/f.u.
- E_form (uncorrected): -346 meV/atom
- Magnetization: 0.0 μB per formula unit
- Space group: I4/mmm (139)

(13)
A plane-wave DFT calculation with PBE was carried out for crystalline La2ScN at its relaxed geometry.

Unit cell a=3.5399 b=3.5399 c=9.8386 alpha=79.64 beta=79.64 gamma=60.00
Sites, in units of the cell vectors:
Sc (0.0000, 0.0000, 0.0000)
N (0.5000, 0.5000, 0.5000)
La (0.1159, 0.1159, 0.6524)
La (0.8841, 0.8841, 0.3476)

- VASP energy: -26.415 eV/f.u.
- E_form (uncorrected): -476 meV/atom
- Magnetization: 0.0 μB per formula unit
- Space group: R-3m (166)

(14)
A plane-wave DFT calculation with PBE was carried out for crystalline LaScN3 at its relaxed geometry.

Unit cell a=4.1219 b=4.1219 c=4.1219 alpha=90.00 beta=90.00 gamma=90.00
Last column: magnetic moment on the atom in μB.
Sites, in units of the cell vectors:
Sc (0.0000, 0.0000, 0.0000)  0.04
N (0.0000, 0.5000, 0.0000)  0.40
N (0.0000, 0.0000, 0.5000)  0.53
N (0.5000, 0.0000, 0.0000)  0.30
La (0.5000, 0.5000, 0.5000)  0.00

- VASP energy: -38.341 eV/f.u.
- E_form (uncorrected): -421 meV/atom
- Magnetization: 1.7 μB per formula unit
- Space group: Pm-3m (221)

(15)
A plane-wave DFT calculation with PBE was carried out for crystalline LaScN3 at its relaxed geometry.

Unit cell a=4.2435 b=4.2435 c=4.2435 alpha=90.00 beta=90.00 gamma=90.00
Sites, in units of the cell vectors:
Sc (0.5000, 0.5000, 0.5000)
N (0.0000, 0.5000, 0.0000)
N (0.0000, 0.0000, 0.5000)
N (0.5000, 0.0000, 0.0000)
La (0.0000, 0.0000, 0.0000)

- VASP energy: -32.915 eV/f.u.
- E_form (uncorrected): 664 meV/atom
- Magnetization: 0.0 μB per formula unit
- Space group: Pm-3m (221)

(16)
A plane-wave DFT calculation with PBE was carried out for crystalline LaScSeN2 at its relaxed geometry.

Unit cell a=4.2247 b=4.2247 c=5.2368 alpha=90.00 beta=90.00 gamma=90.00
Last column: magnetic moment on the atom in μB.
Sites, in units of the cell vectors:
Sc (0.0000, 0.0000, 0.0000)  -0.01
N (0.0000, 0.5000, 0.0000)  0.13
N (0.5000, 0.0000, 0.0000)  0.13
Se (0.0000, 0.0000, 0.5000)  0.00
La (0.5000, 0.5000, 0.5000)  0.00

- VASP energy: -34.569 eV/f.u.
- E_form (uncorrected): -635 meV/atom
- Magnetization: 0.4 μB per formula unit
- Space group: P4/mmm (123)

(17)
A plane-wave DFT calculation with PBE was carried out for crystalline LaScSeN2 at its relaxed geometry.

Unit cell a=4.2600 b=4.2600 c=5.9602 alpha=90.00 beta=90.00 gamma=90.00
Sites, in units of the cell vectors:
Sc (0.5000, 0.5000, 0.5000)
N (0.0000, 0.5000, 0.0000)
N (0.5000, 0.0000, 0.0000)
Se (0.0000, 0.0000, 0.5000)
La (0.0000, 0.0000, 0.0000)

- VASP energy: -30.750 eV/f.u.
- E_form (uncorrected): 129 meV/atom
- Magnetization: 0.0 μB per formula unit
- Space group: P4/mmm (123)

(18)
A plane-wave DFT calculation with PBE was carried out for crystalline La2ScSiN at its relaxed geometry.

Unit cell a=5.1032 b=5.1032 c=4.3321 alpha=90.00 beta=90.00 gamma=90.00
Sites, in units of the cell vectors:
Sc (0.0000, 0.0000, 0.5000)
Si (0.5000, 0.5000, 0.5000)
N (0.0000, 0.0000, 0.0000)
La (0.0000, 0.5000, 0.0000)
La (0.5000, 0.0000, 0.0000)

- VASP energy: -34.273 eV/f.u.
- E_form (uncorrected): -868 meV/atom
- Magnetization: 0.0 μB per formula unit
- Space group: P4/mmm (123)

(19)
A plane-wave DFT calculation with PBE was carried out for crystalline La3ScSi2N6 at its relaxed geometry.

Unit cell a=5.7564 b=5.7564 c=6.4850 alpha=90.00 beta=90.00 gamma=120.00
Last column: magnetic moment on the atom in μB.
Sites, in units of the cell vectors:
La (0.3333, 0.6667, 0.6485)  0.06
La (0.6667, 0.3333, 0.3515)  0.06
La (0.0000, 0.0000, 0.0000)  0.04
Sc (0.0000, 0.0000, 0.5000)  0.07
Si (0.6667, 0.3333, 0.7987)  0.09
Si (0.3333, 0.6667, 0.2013)  0.09
N (0.6549, 0.8274, 0.2950)  0.07
N (0.1726, 0.3451, 0.2950)  0.07
N (0.1726, 0.8274, 0.2950)  0.07
N (0.8274, 0.6549, 0.7050)  0.07
N (0.3451, 0.1726, 0.7050)  0.07
N (0.8274, 0.1726, 0.7050)  0.07

- VASP energy: -96.487 eV/f.u.
- E_form (uncorrected): -1215 meV/atom
- Magnetization: 1.7 μB per formula unit
- Space group: P-3m1 (164)

(20)
A plane-wave DFT calculation with PBE was carried out for crystalline LaSc2SiN4 at its relaxed geometry.

Unit cell a=3.2454 b=5.8483 c=11.0023 alpha=90.00 beta=90.00 gamma=106.11
Sites, in units of the cell vectors:
La (0.0886, 0.1771, 0.7500)
La (0.9114, 0.8229, 0.2500)
Sc (0.3692, 0.7383, 0.5392)
Sc (0.6308, 0.2617, 0.0392)
Sc (0.6308, 0.2617, 0.4608)
Sc (0.3692, 0.7383, 0.9608)
Si (0.8244, 0.6488, 0.7500)
Si (0.1756, 0.3512, 0.2500)
N (0.2616, 0.5231, 0.1208)
N (0.7384, 0.4769, 0.6208)
N (0.7384, 0.4769, 0.8792)
N (0.2616, 0.5231, 0.3792)
N (0.0000, 0.0000, 0.5000)
N (0.0000, 0.0000, 0.0000)
N (0.4050, 0.8100, 0.7500)
N (0.5950, 0.1900, 0.2500)

- VASP energy: -68.195 eV/f.u.
- E_form (uncorrected): -1485 meV/atom
- Magnetization: 0.0 μB per formula unit
- Space group: Cmcm (63)

N(E_F) / states/eV/atom: 1.63 0.87 0.71 0.61 1.13 0.74 0.28 0.90 1.20 0.45 1.32 2.04 1.15 0.78 0.40 0.57 0.39 0.97 0.14 0.19